DFT (PBE) results for crystalline WAuSe2 at its relaxed geometry.

Cell and atoms, written as CIF:
```
data_WAuSe2
_symmetry_space_group_name_H-M 'F -4 3 m'
_symmetry_Int_Tables_number 216
_symmetry_space_group_name_Hall 'F -4 2 3'
_cell_length_a 6.630
_cell_length_b 6.630
_cell_length_c 6.630
_cell_angle_alpha 90.00
_cell_angle_beta 90.00
_cell_angle_gamma 90.00
loop_
_atom_site_label
_atom_site_type_symbol
_atom_site_fract_x
_atom_site_fract_y
_atom_site_fract_z
_atom_site_occupancy
W1 W 0.000 0.000 0.000 1
Au1 Au 0.250 0.250 0.250 1
Se1 Se 0.000 0.000 0.500 1
Se2 Se 0.250 0.250 0.750 1
```

- volume (Å³ per atom) = 18.21
- density of states at the Fermi level (states/eV/cell) = 11.1
- ΔE_f (raw) (eV per atom) = 0.888
- energy above the lowest structure with this stoichiometry (meV/atom) = 923.9